Entry 1:
Material: BeNi2Au
Method: DFT, PBE-GGA
State: relaxed

Unit cell a=8.039 b=8.039 c=8.039 alpha=19.26 beta=19.26 gamma=19.26
Atoms (fractional coordinates):
Be  0.742  0.742  0.742
Au  0.494  0.494  0.494
Ni  0.257  0.257  0.257
Ni  0.007  0.007  0.007

Output
The value obtained for the formation enthalpy at 0 K is 94.2 meV per atom. The calculation puts the total DFT energy (no corrections) at -4.547 eV per atom. For the density of states at the Fermi level, the calculation gives 4.2 states/eV/f.u.



Entry 2:
Material: CuNiIr
Method: DFT, PBE-GGA
State: relaxed

Unit cell a=4.529 b=4.529 c=4.529 alpha=146.33 beta=132.02 gamma=59.89
Atoms (fractional coordinates):
Cu  0.001  0.001  0.000
Ni  0.668  0.668  0.000
Ir  0.331  0.331  0.000

Output
The value obtained for the offset from the most stable computed form is 0.053 eV/atom. The value obtained for the formation enthalpy at 0 K is 123.0 meV per atom. The calculation puts the total DFT energy (no corrections) at -6.123 eV per atom. For the density of states at the Fermi level, the calculation gives 4.4 states/eV/f.u.



Entry 3:
Material: KHg3P
Method: DFT, PBE-GGA
State: relaxed

Unit cell a=6.257 b=7.142 c=7.308 alpha=108.49 beta=97.72 gamma=91.62
Atoms (fractional coordinates):
K  0.808  0.112  0.701
K  0.192  0.888  0.299
Hg  0.325  0.932  0.820
Hg  0.675  0.068  0.180
Hg  0.046  0.372  0.206
Hg  0.954  0.628  0.794
Hg  0.500  0.500  0.500
Hg  0.500  0.500  0.000
P  0.313  0.312  0.672
P  0.687  0.688  0.328

Output
The value obtained for the offset from the most stable computed form is 0.017 eV/atom. The value obtained for the formation enthalpy at 0 K is -125.0 meV per atom. The calculation puts the total DFT energy (no corrections) at -1.608 eV per atom.



Entry 4:
Material: TiTlI2O
Method: DFT, PBE-GGA
State: relaxed

Unit cell a=5.991 b=5.991 c=3.821 alpha=90.00 beta=90.00 gamma=90.00
Atoms (fractional coordinates):
Tl  0.500  0.500  0.500
I  0.000  0.500  0.000
I  0.500  0.000  0.000
O  0.000  0.000  0.500
Ti  0.000  0.000  0.000

Output
The value obtained for the offset from the most stable computed form is 0.000 eV/atom. The uncorrected formation energy comes out at -1.174 eV per atom. The calculation puts the total DFT energy (no corrections) at -4.838 eV per atom. For the density of states at the Fermi level, the calculation gives 0.3 states/eV/f.u.



Among the records above, which one has the lowest total DFT energy (no corrections)? CuNiIr